# 1
This record from Alexandria describes a relaxed K2Er2ZrTe6 crystal. The functional is PBE.

The structure in POSCAR format:
```
K2Er2ZrTe6
1.0
7.462 -0.010 0.057
-3.697 6.482 0.057
-1.352 -2.324 8.423
K Te Zr Er
2 6 1 2
direct
0.830 0.170 0.000
0.170 0.830 0.000
0.608 0.927 0.296
0.392 0.073 0.704
0.073 0.392 0.704
0.254 0.254 0.298
0.927 0.608 0.296
0.746 0.746 0.702
0.000 0.000 0.500
0.668 0.332 0.500
0.332 0.668 0.500
```

Results
raw formation energy	-1.229	eV per atom

***

# 2
This record from Alexandria describes a relaxed SmIn2Ge crystal. The functional is PBE.

The structure in POSCAR format:
```
SmIn2Ge
1.0
3.438 0.000 0.000
1.719 2.977 0.000
1.719 0.992 10.922
Ge In Sm
1 2 1
direct
0.500 0.500 0.500
0.097 0.097 0.708
0.903 0.903 0.292
0.000 0.000 0.000
```

Results
DOS at the Fermi energy	1.73	states/eV/f.u.
polymorph energy (0 for the lowest one)	612	meV/atom
formation energy	0.168	eV/atom

***

| no. | density (g/cm3) |
| --- | --- |
| 1 | 5.15 |
| 2 | 6.72 |